Material: FeGe2H2
Method: DFT, PBE
State: optimized geometry

Cell: 2.8638 2.8638 6.3492 Å, 76.97 76.97 90.00°
Closest atoms and distances in Å follow each position.
Fractional positions:
H 0.7500 0.2500 0.5000  4 H 2.03, 4 Ge 2.09
H 0.2500 0.7500 0.5000  4 H 2.03, 4 Ge 2.09
Fe 0.0000 0.0000 0.0000  8 Ge 2.51
Ge 0.3769 0.3769 0.2461  4 H 2.09
Ge 0.6231 0.6231 0.7539  4 H 2.09

Results
DFT total energy: -22.251 eV for the cell shown
Space group: I4/mmm
Spin magnetization: 0.000 μB per atom